Compound: CoNiBiI2
Source: Alexandria
Functional: meta-GGA SCAN
Structure: PBEsol geometry

Properties
**Energy relative to the elements, uncorrected**: 0.869 eV/atom
**E**: -181.20 eV for the cell shown

a = 5.098 Å, b = 5.098 Å, c = 5.077 Å
α = 90.00°, β = 90.00°, γ = 90.00°
Element x y z (fractional)
Co  0.000  0.000  0.000
Ni  0.500  0.500  0.500
Bi  0.500  0.500  0.000
I  0.000  0.500  0.500
I  0.500  0.000  0.500

Compound: Cu3Sb4O12
Source: Alexandria
Functional: meta-GGA SCAN
Structure: PBEsol geometry

Properties
**Energy relative to the elements, uncorrected**: -1.240 eV/atom
**E**: -292.97 eV for the cell shown

a = 6.598 Å, b = 6.598 Å, c = 6.598 Å
α = 109.47°, β = 109.47°, γ = 109.47°
Element x y z (fractional)
Cu  0.000  0.500  0.500
Cu  0.500  0.000  0.500
Cu  0.500  0.500  0.000
Sb  0.000  0.000  0.500
Sb  0.000  0.500  0.000
Sb  0.500  0.000  0.000
Sb  0.500  0.500  0.500
O  0.131  0.816  0.315
O  0.184  0.315  0.498
O  0.184  0.685  0.869
O  0.315  0.131  0.816
O  0.315  0.498  0.184
O  0.498  0.184  0.315
O  0.502  0.816  0.685
O  0.685  0.502  0.816
O  0.685  0.869  0.184
O  0.816  0.315  0.131
O  0.816  0.685  0.502
O  0.869  0.184  0.685

Compound: Sr2LaScTi
Source: Alexandria
Functional: meta-GGA SCAN
Structure: PBEsol geometry

Properties
**E**: -112.55 eV for the cell shown
**Formation energy**: 1.08 eV per atom

a = 5.864 Å, b = 5.864 Å, c = 5.578 Å
α = 90.00°, β = 90.00°, γ = 90.00°
Element x y z (fractional)
Sr  0.000  0.500  0.000
Sr  0.500  0.000  0.000
La  0.000  0.000  0.500
Sc  0.000  0.000  0.000
Ti  0.500  0.500  0.500

Compound: ZrTa3Al
Source: Alexandria
Functional: meta-GGA SCAN
Structure: PBEsol geometry

Properties
**E**: -228.61 eV for the cell shown
**Energy above the lowest structure with this stoichiometry**: 838 meV per atom
**Formation energy**: 1.92 eV per atom

a = 4.808 Å, b = 4.808 Å, c = 4.808 Å
α = 90.00°, β = 90.00°, γ = 90.00°
Element x y z (fractional)
Zr  0.000  0.000  0.000
Ta  0.000  0.000  0.500
Ta  0.000  0.500  0.000
Ta  0.500  0.000  0.000
Al  0.500  0.500  0.500

Compound: Li2SiSnW
Source: Alexandria
Functional: meta-GGA SCAN
Structure: PBEsol geometry

Properties
**Energy relative to the elements, uncorrected**: 1.531 eV/atom
**E**: -112.75 eV for the cell shown

a = 4.536 Å, b = 4.536 Å, c = 5.067 Å
α = 90.00°, β = 90.00°, γ = 90.00°
Element x y z (fractional)
Li  0.000  0.500  0.000
Li  0.500  0.000  0.000
Si  0.000  0.000  0.500
Sn  0.000  0.000  0.000
W  0.500  0.500  0.500

Compound: Cd2GeSbAs
Source: Alexandria
Functional: meta-GGA SCAN
Structure: PBEsol geometry

Properties
**Energy relative to the elements, uncorrected**: 0.563 eV/atom
**E**: -134.55 eV for the cell shown

a = 4.922 Å, b = 4.922 Å, c = 5.417 Å
α = 90.00°, β = 90.00°, γ = 90.00°
Element x y z (fractional)
Cd  0.000  0.500  0.000
Cd  0.500  0.000  0.000
Ge  0.000  0.000  0.000
Sb  0.000  0.000  0.500
As  0.500  0.500  0.500

Compound: Te3PtW
Source: Alexandria
Functional: meta-GGA SCAN
Structure: PBEsol geometry

Properties
**Energy relative to the elements, uncorrected**: 1.188 eV/atom
**E**: -245.69 eV for the cell shown

a = 5.137 Å, b = 5.137 Å, c = 5.137 Å
α = 90.00°, β = 90.00°, γ = 90.00°
Element x y z (fractional)
Te  0.000  0.000  0.500
Te  0.000  0.500  0.000
Te  0.500  0.000  0.000
Pt  0.500  0.500  0.500
W  0.000  0.000  0.000

Compound: Ca2YAl
Source: Alexandria
Functional: meta-GGA SCAN
Structure: PBEsol geometry

Properties
**E**: -55.47 eV for the cell shown
**Formation energy**: -0.14 eV per atom

a = 3.601 Å, b = 3.601 Å, c = 9.461 Å
α = 90.00°, β = 90.00°, γ = 90.00°
Element x y z (fractional)
Ca  0.000  0.000  0.000
Ca  0.500  0.500  0.322
Y  0.000  0.000  0.615
Al  0.500  0.500  0.795

Compound: Fe6Co
Source: Alexandria
Functional: meta-GGA SCAN
Structure: PBEsol geometry

Properties
**E**: -126.68 eV for the cell shown
**Energy above the lowest structure with this stoichiometry**: 2 meV per atom
**Formation energy**: -0.09 eV per atom

a = 6.094 Å, b = 6.094 Å, c = 6.094 Å
α = 37.81°, β = 37.81°, γ = 37.81°
Element x y z (fractional)
Fe  0.071  0.071  0.071
Fe  0.214  0.214  0.214
Fe  0.358  0.358  0.358
Fe  0.642  0.642  0.642
Fe  0.786  0.786  0.786
Fe  0.929  0.929  0.929
Co  0.500  0.500  0.500

Compound: ZrAsRu2
Source: Alexandria
Functional: meta-GGA SCAN
Structure: PBEsol geometry

Properties
**E**: -242.50 eV for the cell shown
**Formation energy**: -0.18 eV per atom

a = 5.632 Å, b = 8.645 Å, c = 2.914 Å
α = 90.00°, β = 119.18°, γ = 90.00°
Element x y z (fractional)
Zr  0.000  0.000  0.000
Zr  0.500  0.500  0.000
As  0.000  0.500  0.000
As  0.500  0.000  0.000
Ru  0.250  0.250  0.500
Ru  0.250  0.750  0.500
Ru  0.750  0.250  0.500
Ru  0.750  0.750  0.500

Compound: HgAu
Source: Alexandria
Functional: meta-GGA SCAN
Structure: PBEsol geometry

Properties
**E**: -548.75 eV for the cell shown
**Formation energy**: 0.07 eV per atom

a = 11.650 Å, b = 2.886 Å, c = 4.846 Å
α = 90.00°, β = 104.50°, γ = 90.00°
Element x y z (fractional)
Hg  0.102  0.000  0.311
Hg  0.398  0.500  0.689
Hg  0.602  0.500  0.311
Hg  0.898  0.000  0.689
Au  0.148  0.500  0.834
Au  0.352  0.000  0.166
Au  0.648  0.000  0.834
Au  0.852  0.500  0.166

Compound: AlAg3
Source: Alexandria
Functional: meta-GGA SCAN
Structure: PBEsol geometry

Properties
**E**: -204.39 eV for the cell shown
**Formation energy**: -0.09 eV per atom

a = 5.688 Å, b = 5.688 Å, c = 4.602 Å
α = 90.00°, β = 90.00°, γ = 120.00°
Element x y z (fractional)
Al  0.333  0.667  0.250
Al  0.667  0.333  0.750
Ag  0.169  0.337  0.750
Ag  0.169  0.831  0.750
Ag  0.337  0.169  0.250
Ag  0.663  0.831  0.750
Ag  0.831  0.169  0.250
Ag  0.831  0.663  0.250